This record from the Alexandria database describes crystalline Tb4ZnCl5 at its relaxed geometry. The functional is PBE-GGA.

abc: 3.8411 8.3510 9.0550
angles: 102.28 102.25 90.00
With the nearest neighbours (Å) after each atom.
Fractional positions:
Tb 0.6570 0.0836 0.3141  1 Zn 2.71, 5 Cl 2.76-2.92
Tb 0.0007 0.2401 0.0014  2 Zn 2.77, 4 Cl 2.86-3.02
Tb 0.3430 0.9164 0.6859  1 Zn 2.71, 5 Cl 2.76-2.92
Tb 0.9993 0.7599 0.9986  2 Zn 2.77, 4 Cl 2.86-3.02
Zn 0.5000 0.0000 0.0000  6 Tb 2.71-2.77
Cl 0.1661 0.3243 0.3323  3 Tb 2.76-2.86
Cl 0.1742 0.8458 0.3484  4 Tb 2.83-3.02
Cl 0.8258 0.1542 0.6516  4 Tb 2.83-3.02
Cl 0.5000 0.5000 0.0000  4 Tb 2.90
Cl 0.8339 0.6757 0.6677  3 Tb 2.76-2.86

The uncorrected energy is -4.433 eV/atom. Its symmetry is C2/m (12). The calculation puts the uncorrected formation energy at -1.53 eV/atom. The value obtained for the total magnetization is 0.000 Bohr magnetons per cell.